Record 1
Material: LiPm2GaSe5
Method: DFT, PBE
State: relaxed

Cell and atoms, written as POSCAR:
```
LiPm2GaSe5
1.0
2.003 -8.950 0.000
2.003 8.950 0.000
0.000 0.000 11.889
Li Pm Ga Se
2 4 2 10
direct
0.213 0.787 0.500
0.787 0.213 0.000
0.121 0.879 0.162
0.133 0.867 0.785
0.867 0.133 0.285
0.879 0.121 0.662
0.431 0.569 0.935
0.569 0.431 0.435
0.043 0.957 0.549
0.291 0.709 0.149
0.315 0.685 0.830
0.357 0.643 0.479
0.499 0.501 0.259
0.501 0.499 0.759
0.643 0.357 0.979
0.685 0.315 0.330
0.709 0.291 0.649
0.957 0.043 0.049
```

Properties
Formation energy without anion corrections   -1.424 eV per atom
Raw total energy   -89.4 eV for the cell shown
Crystal system   orthorhombic
SG   Cmc2_1 (36)
Total magnetic moment   0.0 Bohr magnetons per cell

Record 2
Material: ZrTlIn
Method: DFT, PBE
State: relaxed

Cell and atoms, written as POSCAR:
```
ZrTlIn
1.0
4.407 0.000 0.000
0.000 5.276 0.000
0.000 0.000 12.459
Zr Tl In
4 4 4
direct
0.000 0.000 0.000
0.000 0.500 0.500
0.500 0.000 0.500
0.500 0.500 0.000
0.000 0.000 0.667
0.000 0.500 0.167
0.500 0.000 0.167
0.500 0.500 0.667
0.000 0.000 0.340
0.000 0.500 0.840
0.500 0.000 0.840
0.500 0.500 0.340
```

Properties
Raw total energy   -54.5 eV for the cell shown
Crystal system   orthorhombic
DOS(E_F)   5.1 states/eV/cell
SG   Fmm2 (42)
Energy relative to the elements   0.0125 eV per atom
E above lowest polymorph   0.0000 eV per atom
Total magnetic moment   0.0 Bohr magnetons per cell